Computed, not measured: a geometry-optimized MgTa2Cu structure at the PBE-GGA level of DFT.

Geometry as extended XYZ:
```
8
Lattice="3.945 0.000 0.000 0.000 3.945 0.000 0.000 0.000 8.654" Properties=species:S:1:pos:R:3 pbc="T T T"
Mg 0.000 0.000 0.000
Mg 1.972 1.972 4.327
Ta 0.000 1.972 2.163
Ta 0.000 1.972 6.490
Ta 1.972 0.000 2.163
Ta 1.972 0.000 6.490
Cu 0.000 0.000 4.327
Cu 1.972 1.972 0.000
```

Computed properties:
Calculated volume, Å³ per cell: 135
Total moment, μB/cell: 0.00
Energy relative to the elements, eV per atom: 0.281
DFT total energy, eV per atom: -7.07



Computed, not measured: a geometry-optimized MgTa2Cu structure at the PBE-GGA level of DFT.

Geometry as extended XYZ:
```
16
Lattice="7.403 0.000 0.000 0.000 7.403 0.000 0.000 0.000 5.276" Properties=species:S:1:pos:R:3 pbc="T T T"
Mg 0.000 0.000 0.000
Mg 0.000 3.701 1.319
Mg 3.701 0.000 3.957
Mg 3.701 3.701 2.638
Ta 1.620 1.851 3.297
Ta 1.851 5.321 4.616
Ta 1.851 5.783 1.978
Ta 2.081 1.851 0.659
Ta 5.321 5.552 0.659
Ta 5.552 1.620 1.978
Ta 5.552 2.081 4.616
Ta 5.783 5.552 3.297
Cu 0.000 0.000 2.638
Cu 0.000 3.701 3.957
Cu 3.701 0.000 1.319
Cu 3.701 3.701 0.000
```

Computed properties:
Calculated volume, Å³ per cell: 289
Total moment, μB/cell: 0.00
Energy relative to the elements, eV per atom: 0.694
DFT total energy, eV per atom: -6.66



Computed, not measured: a geometry-optimized MgTa2Cu structure at the PBE-GGA level of DFT.

Geometry as extended XYZ:
```
4
Lattice="3.991 0.000 0.000 0.000 3.991 0.000 0.000 0.000 4.228" Properties=species:S:1:pos:R:3 pbc="T T T"
Mg 0.000 0.000 0.000
Ta 0.000 1.995 2.114
Ta 1.995 0.000 2.114
Cu 1.995 1.995 0.000
```

Computed properties:
Calculated volume, Å³ per cell: 67
Total moment, μB/cell: 0.00
Energy relative to the elements, eV per atom: 0.290
DFT total energy, eV per atom: -7.06